Pa2Co2CuNi5: relaxed, PBE.

Properties
DFT total energy = -139.677 eV for the cell shown
Formation enthalpy at 0 K = -0.36 eV per atom
N(E_F) = 0.893 states/eV per atom
Crystal system = tetragonal

```
data_Pa2Co2CuNi5
_symmetry_space_group_name_H-M 'P 4/m b m'
_symmetry_Int_Tables_number 127
_symmetry_space_group_name_Hall '-P 4 2ab'
_cell_length_a 8.4237
_cell_length_b 8.4237
_cell_length_c 3.9005
_cell_angle_alpha 90.00
_cell_angle_beta 90.00
_cell_angle_gamma 90.00
loop_
_atom_site_label
_atom_site_type_symbol
_atom_site_fract_x
_atom_site_fract_y
_atom_site_fract_z
Pa1 Pa 0.1777 0.3223 0.0000
Co1 Co 0.1238 0.6238 0.0000
Cu1 Cu 0.0000 0.0000 0.0000
Ni1 Ni 0.0000 0.5000 0.5000
Ni2 Ni 0.0668 0.7981 0.5000
```



PaCoCuNi: relaxed, PBE.

Properties
DFT total energy = -107.581 eV for the cell shown
Formation enthalpy at 0 K = -0.10 eV per atom
N(E_F) = 1.240 states/eV per atom
Crystal system = cubic

```
data_PaCoCuNi
_symmetry_space_group_name_H-M 'F -4 3 m'
_symmetry_Int_Tables_number 216
_symmetry_space_group_name_Hall 'F -4 2 3'
_cell_length_a 6.2432
_cell_length_b 6.2432
_cell_length_c 6.2432
_cell_angle_alpha 90.00
_cell_angle_beta 90.00
_cell_angle_gamma 90.00
loop_
_atom_site_label
_atom_site_type_symbol
_atom_site_fract_x
_atom_site_fract_y
_atom_site_fract_z
Pa1 Pa 0.0000 0.0000 0.0000
Co1 Co 0.2500 0.2500 0.7500
Cu1 Cu 0.0000 0.0000 0.5000
Ni1 Ni 0.2500 0.2500 0.2500
```



Pa2CoCu2Ni5: relaxed, PBE.

Properties
DFT total energy = -128.489 eV for the cell shown
Formation enthalpy at 0 K = -0.10 eV per atom
N(E_F) = 0.531 states/eV per atom
Crystal system = tetragonal

```
data_Pa2CoCu2Ni5
_symmetry_space_group_name_H-M 'P 4/m b m'
_symmetry_Int_Tables_number 127
_symmetry_space_group_name_Hall '-P 4 2ab'
_cell_length_a 8.7545
_cell_length_b 8.7545
_cell_length_c 3.7310
_cell_angle_alpha 90.00
_cell_angle_beta 90.00
_cell_angle_gamma 90.00
loop_
_atom_site_label
_atom_site_type_symbol
_atom_site_fract_x
_atom_site_fract_y
_atom_site_fract_z
Pa1 Pa 0.1873 0.3127 0.0000
Co1 Co 0.0000 0.0000 0.0000
Cu1 Cu 0.1111 0.6111 0.0000
Ni1 Ni 0.0000 0.5000 0.5000
Ni2 Ni 0.0566 0.7963 0.5000
```



Pa2CoCu3Ni12: relaxed, PBE.

Properties
DFT total energy = -314.033 eV for the cell shown
Formation enthalpy at 0 K = 0.17 eV per atom
N(E_F) = 0.841 states/eV per atom
Crystal system = trigonal

```
data_Pa2CoCu3Ni12
_symmetry_space_group_name_H-M 'R -3 m'
_symmetry_Int_Tables_number 166
_symmetry_space_group_name_Hall '-R 3 2"'
_cell_length_a 6.1790
_cell_length_b 6.1790
_cell_length_c 23.3804
_cell_angle_alpha 90.00
_cell_angle_beta 90.00
_cell_angle_gamma 120.00
loop_
_atom_site_label
_atom_site_type_symbol
_atom_site_fract_x
_atom_site_fract_y
_atom_site_fract_z
Pa1 Pa 0.0000 0.0000 0.1391
Co1 Co 0.0000 0.0000 0.5000
Cu1 Cu 0.0000 0.5000 0.0000
Ni1 Ni 0.0311 0.5155 0.8899
Ni2 Ni 0.0777 0.5388 0.6187
```



Pa2CoCuNi: relaxed, PBE.

Properties
DFT total energy = -74.020 eV for the cell shown
Formation enthalpy at 0 K = -0.21 eV per atom
N(E_F) = 1.103 states/eV per atom
Crystal system = monoclinic

```
data_Pa2CoCuNi
_symmetry_space_group_name_H-M 'P 1 21/m 1'
_symmetry_Int_Tables_number 11
_symmetry_space_group_name_Hall '-P 2yb'
_cell_length_a 6.3398
_cell_length_b 4.3241
_cell_length_c 6.5437
_cell_angle_alpha 90.00
_cell_angle_beta 103.77
_cell_angle_gamma 90.00
loop_
_atom_site_label
_atom_site_type_symbol
_atom_site_fract_x
_atom_site_fract_y
_atom_site_fract_z
Pa1 Pa 0.1549 0.2500 0.3410
Pa2 Pa 0.3216 0.2500 0.9599
Co1 Co 0.1151 0.7500 0.0557
Cu1 Cu 0.3094 0.7500 0.6577
Ni1 Ni 0.4666 0.7500 0.3454
```



CoCuNiPd: relaxed, PBE.

Properties
DFT total energy = -86.581 eV for the cell shown
Formation enthalpy at 0 K = 0.13 eV per atom
N(E_F) = 1.033 states/eV per atom
Crystal system = cubic

```
data_CoCuNiPd
_symmetry_space_group_name_H-M 'F -4 3 m'
_symmetry_Int_Tables_number 216
_symmetry_space_group_name_Hall 'F -4 2 3'
_cell_length_a 5.8514
_cell_length_b 5.8514
_cell_length_c 5.8514
_cell_angle_alpha 90.00
_cell_angle_beta 90.00
_cell_angle_gamma 90.00
loop_
_atom_site_label
_atom_site_type_symbol
_atom_site_fract_x
_atom_site_fract_y
_atom_site_fract_z
Co1 Co 0.0000 0.0000 0.0000
Cu1 Cu 0.2500 0.2500 0.7500
Ni1 Ni 0.2500 0.2500 0.2500
Pd1 Pd 0.0000 0.0000 0.5000
```